[1]
This record from the Alexandria database describes crystalline YHo4Rh2 at its relaxed geometry. The functional is PBE-GGA. Values from VASP.

Output
- E_form: -3.46 eV/f.u.

```
&SYSTEM
  ibrav = 0, nat = 14, ntyp = 3
/
ATOMIC_SPECIES
Y 88.91 Y.upf
Ho 164.93 Ho.upf
Rh 102.91 Rh.upf
CELL_PARAMETERS angstrom
7.796 0.000 0.000
0.000 6.347 0.000
-3.003 0.000 7.251
ATOMIC_POSITIONS crystal
Y 0.024 0.250 0.159
Y 0.976 0.750 0.841
Ho 0.238 0.502 0.588
Ho 0.238 0.998 0.588
Ho 0.335 0.750 0.249
Ho 0.383 0.250 0.018
Ho 0.617 0.750 0.982
Ho 0.665 0.250 0.751
Ho 0.762 0.002 0.412
Ho 0.762 0.498 0.412
Rh 0.011 0.250 0.741
Rh 0.413 0.250 0.374
Rh 0.587 0.750 0.626
Rh 0.989 0.750 0.259
```

=====

[2]
This record from the Alexandria database describes crystalline Ti5Nb2O14 at its relaxed geometry. The functional is PBE-GGA. Values from VASP.

Output
- Raw formation energy: -2.84 eV/atom

```
&SYSTEM
  ibrav = 0, nat = 42, ntyp = 3
/
ATOMIC_SPECIES
Ti 47.87 Ti.upf
Nb 92.91 Nb.upf
O 16.00 O.upf
CELL_PARAMETERS angstrom
3.328 -3.361 0.000
3.328 3.361 0.000
0.000 0.000 21.017
ATOMIC_POSITIONS crystal
Ti 0.000 0.000 0.000
Ti 0.000 0.000 0.146
Ti 0.000 0.000 0.285
Ti 0.000 0.000 0.430
Ti 0.000 0.000 0.570
Ti 0.000 0.000 0.715
Ti 0.000 0.000 0.854
Ti 0.500 0.500 0.215
Ti 0.500 0.500 0.500
Ti 0.500 0.500 0.785
Nb 0.500 0.500 0.074
Nb 0.500 0.500 0.357
Nb 0.500 0.500 0.643
Nb 0.500 0.500 0.926
O 0.193 0.193 0.357
O 0.193 0.193 0.643
O 0.194 0.194 0.072
O 0.194 0.194 0.928
O 0.195 0.195 0.215
O 0.195 0.195 0.500
O 0.195 0.195 0.785
O 0.298 0.702 0.000
O 0.300 0.700 0.145
O 0.300 0.700 0.855
O 0.301 0.699 0.285
O 0.301 0.699 0.430
O 0.301 0.699 0.570
O 0.301 0.699 0.715
O 0.699 0.301 0.285
O 0.699 0.301 0.430
O 0.699 0.301 0.570
O 0.699 0.301 0.715
O 0.700 0.300 0.145
O 0.700 0.300 0.855
O 0.702 0.298 0.000
O 0.805 0.805 0.215
O 0.805 0.805 0.500
O 0.805 0.805 0.785
O 0.806 0.806 0.072
O 0.806 0.806 0.928
O 0.807 0.807 0.357
O 0.807 0.807 0.643
```

=====

[3]
This record from the Alexandria database describes crystalline TlCuBi2 at its relaxed geometry. The functional is PBE-GGA. Values from VASP.

Output
- E_form: 0.46 eV/f.u.

```
&SYSTEM
  ibrav = 0, nat = 4, ntyp = 3
/
ATOMIC_SPECIES
Tl 204.38 Tl.upf
Cu 63.55 Cu.upf
Bi 208.98 Bi.upf
CELL_PARAMETERS angstrom
2.087 1.205 7.715
-2.087 1.205 7.715
0.000 -2.409 7.715
ATOMIC_POSITIONS crystal
Tl 0.000 0.000 0.000
Cu 0.837 0.837 0.837
Bi 0.227 0.227 0.227
Bi 0.445 0.445 0.445
```

=====

[4]
This record from the Alexandria database describes crystalline K8Na2Au3 at its relaxed geometry. The functional is PBE-GGA. Values from VASP.

Output
- E_form: -1.30 eV/f.u.

```
&SYSTEM
  ibrav = 0, nat = 13, ntyp = 3
/
ATOMIC_SPECIES
K 39.10 K.upf
Na 22.99 Na.upf
Au 196.97 Au.upf
CELL_PARAMETERS angstrom
8.971 -5.935 0.000
8.971 5.935 0.000
-0.018 0.000 5.878
ATOMIC_POSITIONS crystal
K 0.102 0.102 0.001
K 0.138 0.650 0.499
K 0.350 0.862 0.501
K 0.392 0.392 0.000
K 0.608 0.608 0.000
K 0.650 0.138 0.499
K 0.862 0.350 0.501
K 0.898 0.898 0.999
Na 0.249 0.249 0.501
Na 0.751 0.751 0.499
Au 0.000 0.000 0.500
Au 0.256 0.744 0.000
Au 0.744 0.256 0.000
```

=====

no.,DOS at the Fermi energy (states/eV/atom),total DFT energy (no corrections) (eV per atom),V (Å³ per atom)
1,1.12,-6.134,25.6
2,0.46,-8.984,11.2
3,0.45,-3.441,29.1
4,0.62,-1.735,48.2